Entry 1:
Density functional theory data (PBE-GGA) for a relaxed Dy5Ho4Tl4 crystal.

Summary:
The value obtained for the total energy is -0.1528 Ha/atom. For the volume, the calculation gives 378.9 Å³ per cell. The theoretical density is 10.035 Mg/m³. The value obtained for the formation enthalpy at 0 K is -0.25 eV per atom.

Cell and atoms, written as POSCAR:
```
Dy5Ho4Tl4
1.0
-6.1139 6.1139 2.5341
6.1139 -6.1139 2.5341
6.1139 6.1139 -2.5341
Dy Ho Tl
5 4 4
Direct
0.0000 0.0000 0.0000
0.3132 0.6002 0.9134
0.3998 0.3132 0.7130
0.6002 0.6868 0.2870
0.6868 0.3998 0.0866
0.0959 0.3950 0.4910
0.3950 0.9041 0.2991
0.6050 0.0959 0.7009
0.9041 0.6050 0.5090
0.1045 0.7651 0.8696
0.2349 0.1045 0.3394
0.7651 0.8955 0.6606
0.8955 0.2349 0.1304
```



Entry 2:
Density functional theory data (PBE-GGA) for a relaxed TbPr6Nd12 crystal.

Summary:
The value obtained for the total energy is -0.1601 Ha/atom. For the volume, the calculation gives 718.5 Å³ per cell. The theoretical density is 6.321 Mg/m³. The value obtained for the formation enthalpy at 0 K is 0.41 eV per atom.

Cell and atoms, written as POSCAR:
```
TbPr6Nd12
1.0
6.9804 4.0301 4.2569
-6.9804 4.0301 4.2569
0.0000 -8.0603 4.2569
Tb Pr Nd
1 6 12
Direct
0.0000 0.0000 0.0000
0.2119 0.2118 0.7539
0.2119 0.7539 0.2119
0.2461 0.7882 0.7881
0.7539 0.2119 0.2119
0.7881 0.2461 0.7881
0.7881 0.7881 0.2461
0.1143 0.5000 0.8857
0.1143 0.8857 0.5000
0.1782 0.4588 0.4588
0.4588 0.1782 0.4588
0.4588 0.4588 0.1782
0.5000 0.1143 0.8857
0.5000 0.8857 0.1143
0.5412 0.5412 0.8218
0.5412 0.8218 0.5412
0.8218 0.5412 0.5412
0.8857 0.1143 0.5000
0.8857 0.5000 0.1143
```



Entry 3:
Density functional theory data (PBE-GGA) for a relaxed Ag3Os crystal.

Summary:
The calculation puts the relative energy among the computed polymorphs at 17 meV/atom. The value obtained for the total energy is -0.1664 Ha/atom. For the volume, the calculation gives 66.6 Å³ per cell. The theoretical density is 12.813 Mg/m³. The value obtained for the formation enthalpy at 0 K is 0.42 eV per atom.

Cell and atoms, written as POSCAR:
```
Ag3Os
1.0
2.7934 0.0000 0.0000
-1.3967 2.4191 0.0000
0.0000 0.0000 9.8543
Ag Os
3 1
Direct
0.0000 0.0000 0.0000
0.6667 0.3333 0.2545
0.6667 0.3333 0.7455
0.0000 0.0000 0.5000
```



Question: Which of these has the highest formation enthalpy at 0 K?
Answer: Ag3Os